The following is a PBE-GGA calculation of a relaxed Lu2PuSb crystal, from Alexandria via LeMat-Bulk.

Properties
Its space-group type is R-3m. Its formation energy from raw total energies is -18 kJ/mol of atoms. The energy above the most stable polymorph in this dataset is 0.192 eV per atom.

Lattice parameters (Å, degrees): 3.473 3.473 31.513 90.00 90.00 120.00
Fractional positions:
Lu 0.000 0.000 0.246
Lu 0.000 0.000 0.754
Lu 0.333 0.667 0.421
Lu 0.333 0.667 0.912
Lu 0.667 0.333 0.088
Lu 0.667 0.333 0.579
Pu 0.000 0.000 0.000
Pu 0.333 0.667 0.667
Pu 0.667 0.333 0.333
Sb 0.000 0.000 0.500
Sb 0.333 0.667 0.167
Sb 0.667 0.333 0.833

The following is a PBE-GGA calculation of a relaxed YErAg crystal, from Alexandria via LeMat-Bulk.

Properties
Its space-group type is P3m1. The energy above the most stable polymorph in this dataset is 0.180 eV per atom. For the calculated formation energy, the calculation gives -39 meV/atom.

Lattice parameters (Å, degrees): 5.033 5.033 3.660 90.00 90.00 120.00
Fractional positions:
Y 0.000 0.000 0.000
Er 0.333 0.667 0.538
Ag 0.667 0.333 0.292

The following is a PBE-GGA calculation of a relaxed ScN crystal, from Alexandria via LeMat-Bulk.

Properties
Its space-group type is Amm2. Its formation energy from raw total energies is -139 kJ/mol of atoms.

Lattice parameters (Å, degrees): 3.181 9.987 5.994 90.00 90.00 90.00
Fractional positions:
Sc 0.000 0.000 0.000
Sc 0.000 0.500 0.500
Sc 0.500 0.210 0.744
Sc 0.500 0.290 0.244
Sc 0.500 0.710 0.244
Sc 0.500 0.790 0.744
N 0.000 0.218 0.015
N 0.000 0.282 0.515
N 0.000 0.718 0.515
N 0.000 0.782 0.015
N 0.500 0.000 0.788
N 0.500 0.500 0.288

The following is a PBE-GGA calculation of a relaxed La8Os3PdBr4 crystal, from Alexandria via LeMat-Bulk.

Properties
Its space-group type is R-3m. Its formation energy from raw total energies is -90 kJ/mol of atoms.

Lattice parameters (Å, degrees): 9.279 9.279 9.279 53.95 53.95 53.95
Fractional positions:
La 0.218 0.739 0.739
La 0.233 0.233 0.233
La 0.261 0.261 0.782
La 0.261 0.782 0.261
La 0.739 0.218 0.739
La 0.739 0.739 0.218
La 0.767 0.767 0.767
La 0.782 0.261 0.261
Os 0.000 0.000 0.500
Os 0.000 0.500 0.000
Os 0.500 0.000 0.000
Pd 0.500 0.500 0.500
Br 0.000 0.000 0.000
Br 0.000 0.500 0.500
Br 0.500 0.000 0.500
Br 0.500 0.500 0.000

The following is a PBE-GGA calculation of a relaxed HfNi2OsRu crystal, from Alexandria via LeMat-Bulk.

Properties
Its space-group type is P4/mmm. For the calculated formation energy, the calculation gives 1046 meV/atom.

Lattice parameters (Å, degrees): 4.449 4.449 4.658 90.00 90.00 90.00
Fractional positions:
Hf 0.000 0.000 0.000
Ni 0.000 0.500 0.500
Ni 0.500 0.000 0.500
Os 0.500 0.500 0.500
Ru 0.500 0.500 0.000

The following is a PBE-GGA calculation of a relaxed TaHI2 crystal, from Alexandria via LeMat-Bulk.

Properties
Its space-group type is Cm. The total energy comes out at -4.71 eV/atom.

Lattice parameters (Å, degrees): 16.026 3.523 11.098 90.00 132.89 90.00
Fractional positions:
Ta 0.000 0.000 0.000
Ta 0.010 0.500 0.232
Ta 0.500 0.500 0.000
Ta 0.510 0.000 0.232
H 0.080 0.000 0.344
H 0.083 0.000 0.949
H 0.580 0.500 0.344
H 0.583 0.500 0.949
I 0.182 0.500 0.231
I 0.326 0.500 0.018
I 0.368 0.000 0.732
I 0.492 0.000 0.459
I 0.682 0.000 0.231
I 0.826 0.000 0.018
I 0.868 0.500 0.732
I 0.992 0.500 0.459

The following is a PBE-GGA calculation of a relaxed YIn3Pb crystal, from Alexandria via LeMat-Bulk.

Properties
Its space-group type is Pm-3m. The energy above the most stable polymorph in this dataset is 0.000 eV per atom. For the calculated formation energy, the calculation gives 514 meV/atom.

Lattice parameters (Å, degrees): 5.787 5.787 5.787 90.00 90.00 90.00
Fractional positions:
Y 0.000 0.000 0.000
In 0.000 0.000 0.500
In 0.000 0.500 0.000
In 0.500 0.000 0.000
Pb 0.500 0.500 0.500

The following is a PBE-GGA calculation of a relaxed Li2SiAu5 crystal, from Alexandria via LeMat-Bulk.

Properties
Its space-group type is Cmcm. Its formation energy from raw total energies is -7 kJ/mol of atoms. The energy above the most stable polymorph in this dataset is 0.266 eV per atom.

Lattice parameters (Å, degrees): 8.045 8.045 10.354 90.00 90.00 145.69
Fractional positions:
Li 0.132 0.868 0.602
Li 0.132 0.868 0.898
Li 0.868 0.132 0.102
Li 0.868 0.132 0.398
Si 0.171 0.829 0.250
Si 0.829 0.171 0.750
Au 0.039 0.961 0.115
Au 0.039 0.961 0.385
Au 0.263 0.737 0.062
Au 0.263 0.737 0.438
Au 0.279 0.721 0.750
Au 0.721 0.279 0.250
Au 0.737 0.263 0.562
Au 0.737 0.263 0.938
Au 0.961 0.039 0.615
Au 0.961 0.039 0.885

The following is a PBE-GGA calculation of a relaxed BeAlWI2 crystal, from Alexandria via LeMat-Bulk.

Properties
Its space-group type is P4/mmm. Its formation energy from raw total energies is 123 kJ/mol of atoms.

Lattice parameters (Å, degrees): 5.437 5.437 5.169 90.00 90.00 90.00
Fractional positions:
Be 0.000 0.000 0.000
Al 0.500 0.500 0.000
W 0.500 0.500 0.500
I 0.000 0.500 0.500
I 0.500 0.000 0.500

The following is a PBE-GGA calculation of a relaxed TaBe2Au crystal, from Alexandria via LeMat-Bulk.

Properties
Its space-group type is R3m. The energy above the most stable polymorph in this dataset is 0.412 eV per atom. For the calculated formation energy, the calculation gives 340 meV/atom.

Lattice parameters (Å, degrees): 2.820 2.820 24.810 90.00 90.00 120.00
Fractional positions:
Ta 0.000 0.000 0.000
Ta 0.333 0.667 0.667
Ta 0.667 0.333 0.333
Be 0.000 0.000 0.487
Be 0.000 0.000 0.753
Be 0.333 0.667 0.154
Be 0.333 0.667 0.420
Be 0.667 0.333 0.086
Be 0.667 0.333 0.821
Au 0.000 0.000 0.233
Au 0.333 0.667 0.899
Au 0.667 0.333 0.566

The following is a PBE-GGA calculation of a relaxed Cu5O4 crystal, from Alexandria via LeMat-Bulk.

Properties
Its space-group type is I4/mmm. Its formation energy from raw total energies is -9 kJ/mol of atoms.

Lattice parameters (Å, degrees): 6.488 6.488 6.488 92.88 92.88 154.10
Fractional positions:
Cu 0.000 0.000 0.000
Cu 0.332 0.332 0.665
Cu 0.332 0.668 0.000
Cu 0.668 0.332 0.000
Cu 0.668 0.668 0.335
O 0.000 0.217 0.217
O 0.000 0.783 0.783
O 0.217 0.000 0.217
O 0.783 0.000 0.783

The following is a PBE-GGA calculation of a relaxed ZrGeAu2C crystal, from Alexandria via LeMat-Bulk.

Properties
Its space-group type is P4/mmm. For the calculated formation energy, the calculation gives 894 meV/atom.

Lattice parameters (Å, degrees): 5.077 5.077 3.658 90.00 90.00 90.00
Fractional positions:
Zr 0.000 0.000 0.000
Ge 0.500 0.500 0.500
Au 0.000 0.500 0.500
Au 0.500 0.000 0.500
C 0.500 0.500 0.000

Here are the calculated density numbers, same order: 10.83; 7.53; 3.08; 7.22; 10.58; 6.31; 5.49; 9.03; 5.15; 11.54; 5.45; 10.04 (g/cm³).